(1)
UTl6Br12: optimized geometry, PBE-GGA.

Lattice parameters (Å, degrees): 14.3493 14.3493 13.6101 90.00 90.00 120.00
Space group R-3 (No. 148, hexagonal axes)
One atom of each set of equivalent atoms:
U (0.0000, 0.0000, 0.0000) x3
Tl (0.0249, 0.2461, 0.6158) x18
Br (0.0237, 0.2116, 0.3841) x18
Br (0.0523, 0.1725, 0.8874) x18

* DOS at the Fermi energy: 23.2 states/eV/f.u.
* energy relative to the elements, uncorrected: -913.7 meV/atom

=====

(2)
Ac2NdSb4Rh3: optimized geometry, PBE-GGA.

Lattice parameters (Å, degrees): 4.6453 4.6453 11.8733 90.00 90.00 90.00
Space group P-4m2 (No. 115)
One atom of each set of equivalent atoms:
Ac (0.0000, 0.5000, 0.2243) x2
Nd (0.0000, 0.0000, 0.5000) x1
Sb (0.0000, 0.0000, 0.0000) x1
Sb (0.0000, 0.5000, 0.6649) x2
Sb (0.5000, 0.5000, 0.0000) x1
Rh (0.0000, 0.5000, 0.8903) x2
Rh (0.5000, 0.5000, 0.5000) x1

* DOS at the Fermi energy: 4.7 states/eV/f.u.
* energy relative to the elements, uncorrected: -834.8 meV/atom

=====

(3)
TaBeCu: optimized geometry, PBE-GGA.

Lattice parameters (Å, degrees): 3.1573 5.0389 9.5537 90.00 90.00 90.00
Space group Immm (No. 71)
One atom of each set of equivalent atoms:
Ta (0.0000, 0.0000, 0.1958) x4
Be (0.0000, 0.5000, 0.1099) x4
Cu (0.0000, 0.2516, 0.5000) x4

* DOS at the Fermi energy: 1.1 states/eV/f.u.
* ΔE to the lowest computed polymorph: 0.061 eV/atom
* ΔE_f: -0.033 eV per atom

=====

(4)
LiOsBrO4: optimized geometry, PBE-GGA.

Lattice parameters (Å, degrees): 11.6088 6.8366 7.7528 90.00 105.64 90.00
Space group C2/m (No. 12)
One atom of each set of equivalent atoms:
Li (0.1232, 0.0000, 0.1239) x4
Os (0.1442, 0.5000, 0.2964) x4
Br (0.0692, 0.0000, 0.7907) x4
O (0.0011, 0.5000, 0.6895) x4
O (0.1616, 0.2906, 0.1798) x8
O (0.2382, 0.5000, 0.5109) x4

* energy relative to the elements, uncorrected: -1093.2 meV/atom